Here is a relaxed structure of Pr8Si3Te4S from the Alexandria database. Energies are from PBE.

It has space group R-3m (No. 166, hexagonal axes), with a = 8.7269 Å, b = 8.7269 Å, c = 22.0900 Å, α = 90.00°, β = 90.00° and γ = 120.00°. The distinct sites, in fractional coordinates, are Pr at (0.0000, 0.0000, 0.2417), Pr at (0.0027, 0.5013, 0.7598), Si at (0.0000, 0.5000, 0.5000), Te at (0.0000, 0.0000, 0.0000), Te at (0.0000, 0.5000, 0.0000) and S at (0.0000, 0.0000, 0.5000).

---

Here is a relaxed structure of Pr4SiTeS2 from the Alexandria database. Energies are from PBE.

It has space group P2/m (No. 10), with a = 7.3215 Å, b = 4.2589 Å, c = 7.5357 Å, α = 90.00°, β = 109.30° and γ = 90.00°. The distinct sites, in fractional coordinates, are Pr at (0.2321, 0.0000, 0.2238), Pr at (0.2442, 0.5000, 0.7626), Si at (0.5000, 0.0000, 0.0000), Te at (0.5000, 0.5000, 0.5000), S at (0.0000, 0.0000, 0.5000) and S at (0.0000, 0.5000, 0.0000).

---

Here is a relaxed structure of Pr6SiTe3S2 from the Alexandria database. Energies are from PBE.

It has space group C2/m (No. 12), with a = 7.4268 Å, b = 12.8607 Å, c = 7.7774 Å, α = 90.00°, β = 108.53° and γ = 90.00°. The distinct sites, in fractional coordinates, are Pr at (0.2375, 0.1659, 0.2149), Pr at (0.2388, 0.5000, 0.2131), Si at (0.0000, 0.0000, 0.0000), Te at (0.0000, 0.1658, 0.5000), Te at (0.0000, 0.5000, 0.5000) and S at (0.0000, 0.3331, 0.0000).

---

Here is a relaxed structure of PrThSiS from the Alexandria database. Energies are from PBE.

It has space group R3m (No. 160, hexagonal axes), with a = 4.2226 Å, b = 4.2226 Å, c = 20.3610 Å, α = 90.00°, β = 90.00° and γ = 120.00°. The distinct sites, in fractional coordinates, are Pr at (0.0000, 0.0000, 0.0000), Th at (0.0000, 0.0000, 0.5013), Si at (0.0000, 0.0000, 0.2485) and S at (0.0000, 0.0000, 0.7530).

---

Here is a relaxed structure of PrTlSiS4 from the Alexandria database. Energies are from PBE.

It has space group P2_1/m (No. 11), with a = 6.6193 Å, b = 6.5821 Å, c = 8.8445 Å, α = 90.00°, β = 106.81° and γ = 90.00°. The distinct sites, in fractional coordinates, are Pr at (0.2339, 0.2500, 0.0534), Tl at (0.2660, 0.2500, 0.5700), Si at (0.2180, 0.7500, 0.8196), S at (0.0061, 0.0025, 0.7813), S at (0.3979, 0.7500, 0.0636) and S at (0.4112, 0.7500, 0.6671).

---

Here is a relaxed structure of Pr2SmS3 from the Alexandria database. Energies are from PBE.

Its excess energy over the best structure of this formula in the dataset is 5 meV/atom.

It has space group Immm (No. 71), with a = 4.0772 Å, b = 5.7602 Å, c = 12.2146 Å, α = 90.00°, β = 90.00° and γ = 90.00°. The distinct sites, in fractional coordinates, are Pr at (0.0000, 0.0000, 0.1688), Sm at (0.0000, 0.0000, 0.5000), S at (0.0000, 0.5000, 0.1618) and S at (0.0000, 0.5000, 0.5000).

---

Here is a relaxed structure of Pr3SmS4 from the Alexandria database. Energies are from PBE.

Its excess energy over the best structure of this formula in the dataset is 5 meV/atom.

It has space group Cmmm (No. 65), with a = 8.2303 Å, b = 11.5545 Å, c = 4.0470 Å, α = 90.00°, β = 90.00° and γ = 90.00°. The distinct sites, in fractional coordinates, are Pr at (0.0000, 0.0000, 0.0000), Pr at (0.2500, 0.2500, 0.5000), Sm at (0.0000, 0.5000, 0.0000), S at (0.0000, 0.2531, 0.0000) and S at (0.2438, 0.5000, 0.5000).

---

Here is a relaxed structure of PrSm4S4 from the Alexandria database. Energies are from PBE.

It has space group I4/m (No. 87), with a = 8.9773 Å, b = 8.9773 Å, c = 5.6425 Å, α = 90.00°, β = 90.00° and γ = 90.00°. The distinct sites, in fractional coordinates, are Pr at (0.0000, 0.0000, 0.0000), Sm at (0.1056, 0.3054, 0.5000) and S at (0.1005, 0.3049, 0.0000).

---

Let's list V in order: 1457; 222; 704; 314; 369; 287; 385; 455 Å³ per cell.
Let's list E_form (uncorrected) in order: -1.30; -1.55; -1.56; -1.31; -1.18; -2.02; -2.02; -1.79 eV per atom.